AcTbCdPb: optimized geometry, PBE.

Lattice parameters (Å, degrees): 5.6066 5.6066 5.6066 60.00 60.00 60.00
Fractional coordinates of all 4 atoms:
Ac (0.0000, 0.0000, 0.0000)
Tb (0.5000, 0.5000, 0.5000)
Cd (0.7500, 0.7500, 0.7500)
Pb (0.2500, 0.2500, 0.2500)

- Magnetic moment: 0.000 μB/f.u.
- Formation energy from the elements: -0.36 eV per atom
- Volume: 125 Å³/cell
- SG: No. 216
- D(E_F): 3.59 states/eV/f.u.
- E_tot: -14.804 eV per cell



AcCdTePb: optimized geometry, PBE.

Lattice parameters (Å, degrees): 5.3546 5.3546 9.1864 90.00 90.00 90.00
Fractional coordinates of all 8 atoms:
Ac (0.2500, 0.2500, 0.2081)
Ac (0.7500, 0.7500, 0.7919)
Cd (0.2500, 0.7500, 0.5000)
Cd (0.7500, 0.2500, 0.5000)
Te (0.2500, 0.7500, 0.0000)
Te (0.7500, 0.2500, 0.0000)
Pb (0.2500, 0.2500, 0.6787)
Pb (0.7500, 0.7500, 0.3213)

- Magnetic moment: 0.000 μB/f.u.
- Volume: 263 Å³/cell
- SG: No. 129
- Formation energy without anion corrections: -610 meV per atom
- D(E_F): 2.72 states/eV/f.u.
- E_tot: -28.631 eV per cell



AcThCdPb: optimized geometry, PBE.

Lattice parameters (Å, degrees): 5.6616 5.6616 5.6616 60.00 60.00 60.00
Fractional coordinates of all 4 atoms:
Ac (0.0000, 0.0000, 0.0000)
Th (0.5000, 0.5000, 0.5000)
Cd (0.2500, 0.2500, 0.2500)
Pb (0.7500, 0.7500, 0.7500)

- Magnetic moment: 0.000 μB/f.u.
- Formation energy from the elements: -0.20 eV per atom
- Volume: 128 Å³/cell
- SG: No. 216
- D(E_F): 2.98 states/eV/f.u.
- E_tot: -16.965 eV per cell



AcTmCdPb: optimized geometry, PBE.

Lattice parameters (Å, degrees): 5.5729 5.5729 5.5729 60.00 60.00 60.00
Fractional coordinates of all 4 atoms:
Ac (0.0000, 0.0000, 0.0000)
Tm (0.5000, 0.5000, 0.5000)
Cd (0.7500, 0.7500, 0.7500)
Pb (0.2500, 0.2500, 0.2500)

- Magnetic moment: 0.000 μB/f.u.
- Formation energy from the elements: -0.32 eV per atom
- Volume: 122 Å³/cell
- SG: No. 216
- D(E_F): 3.95 states/eV/f.u.
- E_tot: -14.484 eV per cell



Ac2Zn4Cd3Pb: optimized geometry, PBE.

Lattice parameters (Å, degrees): 4.6917 4.6917 11.2453 90.00 90.00 90.00
Fractional coordinates of all 10 atoms:
Ac (0.0000, 0.5000, 0.2364)
Ac (0.5000, 0.0000, 0.7636)
Zn (0.0000, 0.0000, 0.0000)
Zn (0.0000, 0.5000, 0.6458)
Zn (0.5000, 0.0000, 0.3542)
Zn (0.5000, 0.5000, 0.0000)
Cd (0.0000, 0.5000, 0.8787)
Cd (0.5000, 0.0000, 0.1213)
Cd (0.5000, 0.5000, 0.5000)
Pb (0.0000, 0.0000, 0.5000)

- Magnetic moment: 0.000 μB/f.u.
- Formation energy from the elements: -0.26 eV per atom
- Volume: 248 Å³/cell
- SG: No. 115
- D(E_F): 4.92 states/eV/f.u.
- E_tot: -22.404 eV per cell



Ac3CdPd12: optimized geometry, PBE.

Lattice parameters (Å, degrees): 4.2828 4.2828 16.7084 90.00 90.00 90.00
Fractional coordinates of all 16 atoms:
Ac (0.0000, 0.0000, 0.0000)
Ac (0.0000, 0.0000, 0.2611)
Ac (0.0000, 0.0000, 0.7389)
Cd (0.0000, 0.0000, 0.5000)
Pd (0.0000, 0.5000, 0.1293)
Pd (0.0000, 0.5000, 0.3885)
Pd (0.0000, 0.5000, 0.6115)
Pd (0.0000, 0.5000, 0.8707)
Pd (0.5000, 0.0000, 0.1293)
Pd (0.5000, 0.0000, 0.3885)
Pd (0.5000, 0.0000, 0.6115)
Pd (0.5000, 0.0000, 0.8707)
Pd (0.5000, 0.5000, 0.0000)
Pd (0.5000, 0.5000, 0.2579)
Pd (0.5000, 0.5000, 0.5000)
Pd (0.5000, 0.5000, 0.7421)

- Magnetic moment: 0.000 μB/f.u.
- Formation energy from the elements: -0.59 eV per atom
- Volume: 306 Å³/cell
- SG: No. 123
- D(E_F): 13.74 states/eV/f.u.
- E_tot: -85.003 eV per cell



Ac8CdPd2: optimized geometry, PBE.

Lattice parameters (Å, degrees): 8.7528 8.7528 6.1935 97.91 97.91 114.80
Fractional coordinates of all 11 atoms:
Ac (0.0000, 0.0000, 0.0000)
Ac (0.0492, 0.3038, 0.6043)
Ac (0.1441, 0.6261, 0.1934)
Ac (0.3038, 0.0492, 0.6043)
Ac (0.4668, 0.7212, 0.7821)
Ac (0.6261, 0.1441, 0.1934)
Ac (0.7212, 0.4668, 0.7821)
Ac (0.7715, 0.7715, 0.3876)
Cd (0.3856, 0.3856, 0.2000)
Pd (0.0861, 0.6841, 0.6933)
Pd (0.6841, 0.0861, 0.6933)

- Magnetic moment: 0.000 μB/f.u.
- Formation energy from the elements: -0.23 eV per atom
- Volume: 416 Å³/cell
- SG: No. 8
- D(E_F): 14.11 states/eV/f.u.
- E_tot: -46.681 eV per cell



Ac2CdPd4: optimized geometry, PBE.

Lattice parameters (Å, degrees): 8.3328 8.3328 8.3328 144.88 144.88 50.52
Fractional coordinates of all 7 atoms:
Ac (0.1368, 0.1368, 0.0000)
Ac (0.8632, 0.8632, 0.0000)
Cd (0.5000, 0.5000, 0.0000)
Pd (0.0000, 0.5000, 0.5000)
Pd (0.3237, 0.3237, 0.0000)
Pd (0.5000, 0.0000, 0.5000)
Pd (0.6763, 0.6763, 0.0000)

- Magnetic moment: 0.000 μB/f.u.
- Formation energy from the elements: -0.31 eV per atom
- Volume: 191 Å³/cell
- SG: No. 139
- D(E_F): 3.97 states/eV/f.u.
- E_tot: -32.044 eV per cell



AcCd12Pd4: optimized geometry, PBE.

Lattice parameters (Å, degrees): 8.2635 8.2635 8.2635 109.47 109.47 109.47
Fractional coordinates of all 17 atoms:
Ac (0.0000, 0.0000, 0.0000)
Cd (0.1610, 0.3455, 0.5065)
Cd (0.1610, 0.6545, 0.8155)
Cd (0.1845, 0.8390, 0.3455)
Cd (0.3455, 0.1845, 0.8390)
Cd (0.3455, 0.5065, 0.1610)
Cd (0.4935, 0.8390, 0.6545)
Cd (0.5065, 0.1610, 0.3455)
Cd (0.6545, 0.4935, 0.8390)
Cd (0.6545, 0.8155, 0.1610)
Cd (0.8155, 0.1610, 0.6545)
Cd (0.8390, 0.3455, 0.1845)
Cd (0.8390, 0.6545, 0.4935)
Pd (0.0000, 0.0000, 0.5000)
Pd (0.0000, 0.5000, 0.0000)
Pd (0.5000, 0.0000, 0.0000)
Pd (0.5000, 0.5000, 0.5000)

- Magnetic moment: 0.000 μB/f.u.
- Formation energy from the elements: -0.06 eV per atom
- Volume: 434 Å³/cell
- SG: No. 204
- D(E_F): 8.66 states/eV/f.u.
- E_tot: -36.917 eV per cell



Ac2CdPd: optimized geometry, PBE.

Lattice parameters (Å, degrees): 7.9261 7.9261 8.1477 90.00 90.00 149.46
Fractional coordinates of all 8 atoms:
Ac (0.1346, 0.8654, 0.5012)
Ac (0.1346, 0.8654, 0.9988)
Ac (0.8654, 0.1346, 0.0012)
Ac (0.8654, 0.1346, 0.4988)
Cd (0.4956, 0.5044, 0.7500)
Cd (0.5044, 0.4956, 0.2500)
Pd (0.2947, 0.7053, 0.7500)
Pd (0.7053, 0.2947, 0.2500)

- Magnetic moment: 0.000 μB/f.u.
- Formation energy from the elements: -0.53 eV per atom
- Volume: 260 Å³/cell
- SG: No. 63
- D(E_F): 3.35 states/eV/f.u.
- E_tot: -32.869 eV per cell



Ac5CdPd2: optimized geometry, PBE.

Lattice parameters (Å, degrees): 9.5183 9.5183 9.5183 127.73 125.10 79.23
Fractional coordinates of all 16 atoms:
Ac (0.0000, 0.0000, 0.0000)
Ac (0.0265, 0.5161, 0.8198)
Ac (0.1963, 0.0161, 0.4896)
Ac (0.3037, 0.7933, 0.8198)
Ac (0.4735, 0.2933, 0.4896)
Ac (0.5000, 0.5000, 0.0000)
Ac (0.5265, 0.7067, 0.5104)
Ac (0.6963, 0.2067, 0.1802)
Ac (0.8037, 0.9839, 0.5104)
Ac (0.9735, 0.4839, 0.1802)
Cd (0.2500, 0.2500, 0.0000)
Cd (0.7500, 0.7500, 0.0000)
Pd (0.1252, 0.3636, 0.4888)
Pd (0.3748, 0.8636, 0.2384)
Pd (0.6252, 0.1364, 0.7616)
Pd (0.8748, 0.6364, 0.5112)

- Magnetic moment: 0.000 μB/f.u.
- Formation energy from the elements: -0.46 eV per atom
- Volume: 540 Å³/cell
- SG: No. 72
- D(E_F): 8.90 states/eV/f.u.
- E_tot: -71.014 eV per cell



Ac2CdPd9: optimized geometry, PBE.

Lattice parameters (Å, degrees): 9.6821 9.6821 9.6821 32.85 32.85 32.85
Fractional coordinates of all 12 atoms:
Ac (0.1337, 0.1337, 0.1337)
Ac (0.8663, 0.8663, 0.8663)
Cd (0.0000, 0.0000, 0.0000)
Pd (0.0809, 0.5838, 0.5838)
Pd (0.3329, 0.3329, 0.3329)
Pd (0.4162, 0.4162, 0.9191)
Pd (0.4162, 0.9191, 0.4162)
Pd (0.5000, 0.5000, 0.5000)
Pd (0.5838, 0.0809, 0.5838)
Pd (0.5838, 0.5838, 0.0809)
Pd (0.6671, 0.6671, 0.6671)
Pd (0.9191, 0.4162, 0.4162)

- Magnetic moment: 0.000 μB/f.u.
- Formation energy from the elements: -0.47 eV per atom
- Volume: 238 Å³/cell
- SG: No. 166
- D(E_F): 12.33 states/eV/f.u.
- E_tot: -61.487 eV per cell